A relaxed structure of CsBaMn2F8, computed with GGA+U.

Computed properties:
uncorrected energy: -5.470 eV per atom
density: 3.1 Mg/m³

Lattice parameters (Å, degrees): 5.985 5.985 9.204 90.00 90.00 120.00
Sites, in units of the cell vectors:
Cs 0.000 0.000 0.000
Ba 0.000 0.000 0.500
Mn 0.333 0.667 0.782
Mn 0.667 0.333 0.218
F 0.079 0.343 0.696
F 0.265 0.921 0.696
F 0.333 0.667 0.990
F 0.343 0.265 0.304
F 0.657 0.735 0.696
F 0.667 0.333 0.010
F 0.735 0.079 0.304
F 0.921 0.657 0.304